1.
Entry from the Open Quantum Materials Database: a relaxed structure of BeAlFe2 (GGA-PBE).

Spin magnetization, μB/atom: 0.61
VASP energy, eV per formula unit: -24.93

Geometry as POSCAR:
```
BeAlFe2
1.0
5.528 0.000 0.000
0.000 5.528 0.000
0.000 0.000 5.528
Be Al Fe
4 4 8
Direct
0.000 0.000 0.000
0.000 0.000 0.500
0.000 0.500 0.000
0.500 0.000 0.000
0.000 0.500 0.500
0.500 0.000 0.500
0.500 0.500 0.000
0.500 0.500 0.500
0.231 0.231 0.231
0.231 0.231 0.769
0.231 0.769 0.231
0.231 0.769 0.769
0.769 0.231 0.231
0.769 0.231 0.769
0.769 0.769 0.231
0.769 0.769 0.769
```

=====

2.
Entry from the Open Quantum Materials Database: a relaxed structure of Sb4Pt (GGA-PBE).

Spin magnetization, μB/atom: 0.00
VASP energy, eV per formula unit: -22.94

Geometry as POSCAR:
```
Sb4Pt
1.0
3.221 -6.112 0.000
3.221 6.112 0.000
0.000 0.000 6.518
Sb Pt
8 2
Direct
0.047 0.294 0.084
0.206 0.453 0.584
0.294 0.047 0.584
0.453 0.206 0.084
0.547 0.794 0.916
0.706 0.953 0.416
0.794 0.547 0.416
0.953 0.706 0.916
0.250 0.750 0.250
0.750 0.250 0.750
```